## VHRu2Pt (PBE)

Data for a relaxed structure of VHRu2Pt.

The structure in CIF format:
```
data_VHRu2Pt
_chemical_formula_sum 'V1 H1 Ru2 Pt1'
_cell_length_a 3.876
_cell_length_b 3.876
_cell_length_c 3.883
_cell_angle_alpha 90.00
_cell_angle_beta 90.00
_cell_angle_gamma 90.00
_space_group_name_H-M_alt 'P 4/m m m'
_space_group_IT_number 123
_space_group_name_Hall '-P 4 2'
loop_
_atom_site_label
_atom_site_fract_x
_atom_site_fract_y
_atom_site_fract_z
V1 0.000 0.000 0.000
H1 0.000 0.000 0.500
Ru1 0.000 0.500 0.500
Pt1 0.500 0.500 0.000
```

Results
The value obtained for the volume is 58.3 Å³/f.u. Its total energy is -7.637 eV per atom.